(1)
A plane-wave DFT calculation with PBE-GGA was carried out for a relaxed structure of CePmSbRu.

POSCAR file:
```
CePmSbRu
1.0
0.000 3.574 3.574
3.574 0.000 3.574
3.574 3.574 0.000
Ce Pm Sb Ru
1 1 1 1
Direct
0.000 0.000 0.000
0.250 0.250 0.250
0.750 0.750 0.750
0.500 0.500 0.500
```

## Properties
Crystal system: cubic
Formation energy from raw total energies: -0.186 eV per atom

(2)
A plane-wave DFT calculation with PBE-GGA was carried out for a relaxed structure of CePmTlRu.

POSCAR file:
```
CePmTlRu
1.0
3.423 0.000 0.000
0.000 3.423 0.000
0.000 0.000 8.539
Ce Pm Tl Ru
1 1 1 1
Direct
0.000 0.000 0.000
0.000 0.000 0.408
0.500 0.500 0.704
0.500 0.500 0.193
```

## Properties
Crystal system: tetragonal
Uncorrected energy: -5.90 eV/atom